DFT (GGA-PBEsol) results for a relaxed Dy5In3 crystal.

Computed properties:
Energy relative to the elements in eV per formula unit: -3.43
M_tot in μB/f.u.: 0.00
Electronic total energy in eV/atom: -4.659

a = 12.0691 Å, b = 12.0691 Å, c = 5.8717 Å
α = 90.00°, β = 90.00°, γ = 90.00°
Last column: nearest neighbours and their distance in Å.
Space group I4/mcm (No. 140)
Inequivalent atoms, fractional coordinates:
Dy (0.0000, 0.5000, 0.2500) x4  2 Dy 2.94, 4 In 3.13
Dy (0.0830, 0.2204, 0.0000) x16  6 In 3.16-3.40, 1 Dy 3.36
In (0.0000, 0.0000, 0.2500) x4  2 In 2.94, 8 Dy 3.20
In (0.1617, 0.3383, 0.5000) x8  10 Dy 3.13-3.40